## Hf6OsN (PBE)

Data for a relaxed Hf6OsN crystal.

a = 4.9990 Å, b = 5.7031 Å, c = 5.8202 Å
α = 97.75°, β = 113.40°, γ = 91.23°
Space group P-1 (No. 2)
Unique sites:
Hf: 0.0627 0.2858 0.1548 (multiplicity 2)
Hf: 0.2387 0.8292 0.4869 (multiplicity 2)
Hf: 0.3912 0.3678 0.7578 (multiplicity 2)
Os: 0.5000 0.0000 0.0000 (multiplicity 1)
N: 0.0000 0.5000 0.5000 (multiplicity 1)

Spin magnetization: 0.0 μB per formula unit
Calculated total energy: -10.505 eV per atom